(1)
Entry from Alexandria via LeMat-Bulk: a geometry-optimized La4AsAuS2 structure (GGA-PBE).

a b c (Å): 7.4057 4.2566 7.4339
angles (deg): 90.00 109.00 90.00
Closest atoms and distances in Å follow each position.
Fractional positions:
La 0.2383 0.0000 0.2343  3 S 2.95-3.00, 1 As 3.05, 2 Au 3.11
La 0.2464 0.5000 0.7604  3 S 2.94-3.01, 2 As 3.05, 1 Au 3.11
La 0.7536 0.5000 0.2396  3 S 2.94-3.01, 2 As 3.05, 1 Au 3.11
La 0.7617 0.0000 0.7657  3 S 2.95-3.00, 1 As 3.05, 2 Au 3.11
As 0.0000 0.0000 0.5000  6 La 3.05
Au 0.5000 0.5000 0.5000  6 La 3.11
S 0.0000 0.5000 0.0000  6 La 2.94-2.95
S 0.5000 0.0000 0.0000  6 La 3.00-3.01

Symmetry: P2/m, No. 10

(2)
Entry from Alexandria via LeMat-Bulk: a geometry-optimized La4Te2AsAu structure (GGA-PBE).

a b c (Å): 7.8225 4.4199 7.8390
angles (deg): 90.00 108.93 90.00
Closest atoms and distances in Å follow each position.
Fractional positions:
La 0.2354 0.0000 0.2304  2 As 3.06, 1 Au 3.16, 3 Te 3.22-3.29
La 0.2525 0.5000 0.7688  1 As 3.08, 2 Au 3.11, 3 Te 3.24-3.29
La 0.7475 0.5000 0.2312  1 As 3.08, 2 Au 3.11, 3 Te 3.24-3.29
La 0.7646 0.0000 0.7696  2 As 3.06, 1 Au 3.16, 3 Te 3.22-3.29
Te 0.0000 0.0000 0.5000  6 La 3.22-3.24
Te 0.5000 0.5000 0.5000  6 La 3.29
As 0.0000 0.5000 0.0000  6 La 3.06-3.08
Au 0.5000 0.0000 0.0000  6 La 3.11-3.16

Symmetry: P2/m, No. 10

| no. | formation energy (no corrections) (meV per atom) |
| --- | --- |
| 1 | -1627 |
| 2 | -1379 |